Pr2PuUP4: relaxed, PBE-GGA.

Unit cell a=7.0518 b=4.0653 c=7.0912 alpha=90.00 beta=109.26 gamma=90.00
With the nearest neighbours (Å) after each atom.
Sites, in units of the cell vectors:
Pr  0.0000  0.0000  0.0000  6 P 2.98-2.99
Pr  0.5000  0.5000  0.0000  6 P 2.94-2.95
Pu  0.0000  0.5000  0.5000  6 P 2.82-2.83
U  0.5000  0.0000  0.5000  6 P 2.78-2.80
P  0.2480  0.0000  0.7298  1 U 2.78, 2 Pu 2.82, 3 Pr 2.95-2.99
P  0.2605  0.5000  0.2702  2 U 2.80, 1 Pu 2.83, 3 Pr 2.94-2.98
P  0.7395  0.5000  0.7298  2 U 2.80, 1 Pu 2.83, 3 Pr 2.94-2.98
P  0.7520  0.0000  0.2702  1 U 2.78, 2 Pu 2.82, 3 Pr 2.95-2.99

Output
The total energy comes out at -0.3083 Ha/atom. Its energy relative to the elements is -1.29 eV per atom.